First-principles (GGA-PBE) data for a geometry-optimized TbNd15Sm4 structure, as listed in Alexandria via LeMat-Bulk.

Calculated values
Calculated formation energy in eV/atom: 0.014
E in eV/atom: -4.7377
Fermi-level density of states in states/eV/f.u.: 29.26
Volume in A^3/atom: 34.82
Total moment in μB per cell: 0.00
Space-group type: No. 123

a = 5.188 Å, b = 5.188 Å, c = 25.869 Å
α = 90.00°, β = 90.00°, γ = 90.00°
Fractional coordinates of all 20 atoms:
Tb: 0.000 0.000 0.000
Nd: 0.000 0.500 0.099
Nd: 0.000 0.500 0.300
Nd: 0.000 0.500 0.500
Nd: 0.000 0.500 0.700
Nd: 0.000 0.500 0.901
Nd: 0.500 0.000 0.099
Nd: 0.500 0.000 0.300
Nd: 0.500 0.000 0.500
Nd: 0.500 0.000 0.700
Nd: 0.500 0.000 0.901
Nd: 0.500 0.500 0.000
Nd: 0.500 0.500 0.199
Nd: 0.500 0.500 0.400
Nd: 0.500 0.500 0.600
Nd: 0.500 0.500 0.801
Sm: 0.000 0.000 0.199
Sm: 0.000 0.000 0.400
Sm: 0.000 0.000 0.600
Sm: 0.000 0.000 0.801